Density functional theory data (PBE) for a relaxed structure of Mg2Ti2O5.

a = 3.3741 Å, b = 7.2087 Å, c = 10.5315 Å
α = 90.00°, β = 90.00°, γ = 90.00°
Atoms (fractional coordinates):
Mg  0.5000  0.8987  0.3772
Mg  0.5000  0.1013  0.6228
Mg  0.5000  0.3987  0.1228
Mg  0.5000  0.6013  0.8772
Ti  0.0000  0.8046  0.1108
Ti  0.0000  0.1954  0.8892
Ti  0.0000  0.6954  0.6108
Ti  0.0000  0.3046  0.3892
O  0.0000  0.0000  0.0000
O  0.0000  0.6411  0.7869
O  0.0000  0.1411  0.7131
O  0.0000  0.8589  0.2869
O  0.5000  0.8297  0.5661
O  0.5000  0.1703  0.4339
O  0.0000  0.3589  0.2131
O  0.5000  0.6703  0.0661
O  0.0000  0.5000  0.5000
O  0.5000  0.3297  0.9339

**ΔE to the lowest computed polymorph**: 0.024 eV per atom
**Energy relative to the elements, uncorrected**: -2564.6 meV/atom
**Volume**: 256.15 Å³/cell
**Total magnetic moment**: 3.95 μB per cell